No. 1
Material: FeTeP
Method: DFT, GGA-PBE
State: optimized geometry

abc: 4.2135 4.2344 11.8487
angles: 90.00 90.00 90.00
Space group Fmm2 (No. 42)
Unique sites:
1 Fe 0.0000 0.0000 0.0000 (multiplicity 4)
2 Te 0.0000 0.0000 0.3431 (multiplicity 4)
3 P 0.0000 0.0000 0.5969 (multiplicity 4)

Results
Polymorph energy (0 for the lowest one) ... 554.1 meV per atom
E_form (uncorrected) ... 0.202 eV per atom
Total moment ... 4.416 Bohr magnetons per cell
Volume ... 17.62 Å³ per atom

---

No. 2
Material: CaCeCuSe4
Method: DFT, GGA-PBE
State: optimized geometry

abc: 7.1565 5.7705 8.4370
angles: 90.00 107.27 90.00
Space group P2_1/m (No. 11)
Unique sites:
1 Ca 0.2276 0.2500 0.4350 (multiplicity 2)
2 Ce 0.2314 0.2500 0.9357 (multiplicity 2)
3 Cu 0.2412 0.7500 0.1859 (multiplicity 2)
4 Se 0.0628 0.7500 0.3819 (multiplicity 2)
5 Se 0.0756 0.7500 0.8973 (multiplicity 2)
6 Se 0.4818 0.5096 0.7543 (multiplicity 4)

Results
E_form (uncorrected) ... -1.303 eV per atom
Total moment ... 0.535 Bohr magnetons per cell
Volume ... 23.76 Å³ per atom

---

No. 3
Material: Ce5Sb5P
Method: DFT, GGA-PBE
State: optimized geometry

abc: 13.9610 6.2030 8.7445
angles: 90.00 108.96 90.00
Space group C2/m (No. 12)
Unique sites:
1 Ce 0.0000 0.0000 0.0000 (multiplicity 2)
2 Ce 0.1576 0.5000 0.8410 (multiplicity 4)
3 Ce 0.1593 0.5000 0.3211 (multiplicity 4)
4 Sb 0.0000 0.5000 0.5000 (multiplicity 2)
5 Sb 0.1619 0.0000 0.8234 (multiplicity 4)
6 Sb 0.1751 0.0000 0.3346 (multiplicity 4)
7 P 0.0000 0.5000 0.0000 (multiplicity 2)

Results
E_form (uncorrected) ... -0.854 eV per atom
Total moment ... 4.589 Bohr magnetons per cell
Volume ... 32.55 Å³ per atom

---

No. 4
Material: OsRu2Cl2
Method: DFT, GGA-PBE
State: optimized geometry

abc: 7.3222 7.3222 2.7978
angles: 90.00 90.00 90.00
Space group P4/mbm (No. 127)
Unique sites:
1 Os 0.0000 0.0000 0.0000 (multiplicity 2)
2 Ru 0.1882 0.3118 0.5000 (multiplicity 4)
3 Cl 0.1311 0.6311 0.0000 (multiplicity 4)

Results
Polymorph energy (0 for the lowest one) ... 42.2 meV per atom
E_form (uncorrected) ... 1.269 eV per atom
Total moment ... 0.000 Bohr magnetons per cell
Volume ... 15.00 Å³ per atom

---

No. 5
Material: Sr6Ga2N
Method: DFT, GGA-PBE
State: optimized geometry

abc: 14.3547 4.2852 12.3393
angles: 90.00 107.70 90.00
Space group C2/m (No. 12)
Unique sites:
1 Sr 0.0182 0.0000 0.3073 (multiplicity 4)
2 Sr 0.1578 0.5000 0.0588 (multiplicity 4)
3 Sr 0.1731 0.0000 0.5967 (multiplicity 4)
4 Ga 0.1770 0.5000 0.8047 (multiplicity 4)
5 N 0.0000 0.0000 0.5000 (multiplicity 2)

Results
Polymorph energy (0 for the lowest one) ... 231.8 meV per atom
E_form (uncorrected) ... -0.128 eV per atom
Total moment ... 0.001 Bohr magnetons per cell
Volume ... 40.17 Å³ per atom

---

No. 6
Material: MgTeI2F
Method: DFT, GGA-PBE
State: optimized geometry

abc: 5.9698 5.9698 4.2687
angles: 90.00 90.00 90.00
Space group P4/mmm (No. 123)
Unique sites:
1 Mg 0.0000 0.0000 0.0000 (multiplicity 1)
2 Te 0.5000 0.5000 0.0000 (multiplicity 1)
3 I 0.0000 0.5000 0.5000 (multiplicity 2)
4 F 0.5000 0.5000 0.5000 (multiplicity 1)

Results
Polymorph energy (0 for the lowest one) ... 0.0 meV per atom
E_form (uncorrected) ... -0.249 eV per atom
Total moment ... 0.649 Bohr magnetons per cell
Volume ... 30.43 Å³ per atom